Version 1
Here is a relaxed structure of BeSBrCl2 from Alexandria via LeMat-Bulk. Energies are from GGA-PBE.

abc: 5.162 5.162 4.931
angles: 90.00 90.00 90.00
Space group P4/mmm (No. 123)
Symmetry-distinct sites (fractional):
Be1 0.000 0.000 0.000 (multiplicity 1)
S1 0.500 0.500 0.000 (multiplicity 1)
Br1 0.500 0.500 0.500 (multiplicity 1)
Cl1 0.000 0.500 0.500 (multiplicity 2)

---

Version 2
Here is a relaxed structure of BeSBrCl2 from Alexandria via LeMat-Bulk. Energies are from GGA-PBE.

abc: 4.108 4.108 6.554
angles: 90.00 90.00 90.00
Space group P4/mmm (No. 123)
Symmetry-distinct sites (fractional):
Be1 0.000 0.000 0.000 (multiplicity 1)
S1 0.000 0.000 0.500 (multiplicity 1)
Br1 0.500 0.500 0.500 (multiplicity 1)
Cl1 0.000 0.500 0.000 (multiplicity 2)

---

Q: What are the energies relative to the best structure? A: version 1 104.2; version 2 0.0, in kJ/mol of atoms.